[1]
A relaxed structure of Mg2CdN, computed with PBEsol.

Cell lengths 6.0399, 6.0399, 6.0399 Å; angles 93.54, 117.98, 117.98 degrees
Closest atoms and distances in Å follow each position.
Element x y z (fractional)
Mg 0.6488 0.3750 0.5238  2 N 1.97
Mg 0.3512 0.8750 0.7262  2 N 1.97
Mg 0.1488 0.2738 0.6250  2 N 1.97
Mg 0.8512 0.4762 0.1250  2 N 1.97
Cd 0.0000 0.0000 0.0000  4 Mg 3.11
N 0.5000 0.2500 0.7500  4 Mg 1.97
N 0.0000 0.5000 0.5000  4 Mg 1.97
Cd 0.5000 0.7500 0.2500  4 Mg 3.11

## Properties
* total moment: 0.00 μB per cell
* energy relative to the lowest polymorph listed for this composition: 0.000 eV/atom
* space group: I-42d (122)

=====

[2]
A relaxed structure of MgCdSN2, computed with PBEsol.

Cell lengths 4.1080, 4.1080, 5.3548 Å; angles 90.00, 90.00, 90.00 degrees
Closest atoms and distances in Å follow each position.
Element x y z (fractional)
S 0.0000 0.0000 0.5000  2 Cd 2.68, 4 Mg 2.90
Cd 0.0000 0.0000 0.0000  4 N 2.05
Mg 0.5000 0.5000 0.5000  4 S 2.90
N 0.0000 0.5000 0.0000  2 Cd 2.05
N 0.5000 0.0000 0.0000  2 Cd 2.05

## Properties
* total moment: 3.13 μB per cell
* space group: P4/mmm (123)
* electronic total energy: -18.2 eV per formula unit

=====

[3]
A relaxed structure of MgCdS2N, computed with PBEsol.

Cell lengths 3.9802, 4.8491, 4.8491 Å; angles 90.00, 90.00, 90.00 degrees
Closest atoms and distances in Å follow each position.
Element x y z (fractional)
N 0.5000 0.0000 0.0000  2 Mg 1.99
Mg 0.0000 0.0000 0.0000  2 N 1.99
S 0.0000 0.5000 0.0000  2 Mg 2.42
Cd 0.5000 0.5000 0.5000  8 S 3.14, 4 N 3.43
S 0.0000 0.0000 0.5000  2 Mg 2.42

## Properties
* total moment: 2.82 μB per cell
* energy relative to the lowest polymorph listed for this composition: 0.000 eV/atom
* space group: P4/mmm (123)

=====

[4]
A relaxed structure of MgCdS2N, computed with PBEsol.

Cell lengths 4.0678, 5.0140, 5.0140 Å; angles 90.00, 90.00, 90.00 degrees
Closest atoms and distances in Å follow each position.
Element x y z (fractional)
N 0.5000 0.0000 0.0000  2 Cd 2.03
S 0.0000 0.5000 0.0000  2 Cd 2.51
Mg 0.5000 0.5000 0.5000  8 S 3.23, 4 N 3.55
S 0.0000 0.0000 0.5000  2 Cd 2.51
Cd 0.0000 0.0000 0.0000  2 N 2.03

## Properties
* total moment: 2.04 μB per cell
* energy relative to the lowest polymorph listed for this composition: 0.158 eV/atom
* space group: P4/mmm (123)

=====

[5]
A relaxed structure of NaMgCdTc2, computed with PBEsol.

Cell lengths 4.9545, 5.0263, 5.0263 Å; angles 90.00, 90.00, 90.00 degrees
Closest atoms and distances in Å follow each position.
Element x y z (fractional)
Na 0.5000 0.0000 0.0000  2 Cd 2.48
Tc 0.0000 0.5000 0.0000  2 Cd 2.51
Mg 0.5000 0.5000 0.5000  8 Tc 3.53, 4 Na 3.55
Tc 0.0000 0.0000 0.5000  2 Cd 2.51
Cd 0.0000 0.0000 0.0000  2 Na 2.48, 4 Tc 2.51

## Properties
* formation enthalpy at 0 K: 1.780 eV/atom
* total moment: 5.14 μB per cell
* space group: P4/mmm (123)

=====

[6]
A relaxed structure of Nd2MgCd, computed with PBEsol.

Cell lengths 5.3774, 5.3774, 5.3774 Å; angles 60.00, 60.00, 60.00 degrees
Closest atoms and distances in Å follow each position.
Element x y z (fractional)
Nd 0.2500 0.2500 0.2500  4 Cd 3.29, 4 Mg 3.29
Mg 0.0000 0.0000 0.0000  8 Nd 3.29
Nd 0.7500 0.7500 0.7500  4 Mg 3.29, 4 Cd 3.29
Cd 0.5000 0.5000 0.5000  8 Nd 3.29

## Properties
* formation enthalpy at 0 K: -0.214 eV/atom
* total moment: 0.00 μB per cell
* space group: Fm-3m (225)

=====

[7]
A relaxed structure of NdMgCd2, computed with PBEsol.

Cell lengths 5.1107, 5.1107, 5.1107 Å; angles 60.00, 60.00, 60.00 degrees
Closest atoms and distances in Å follow each position.
Element x y z (fractional)
Mg 0.5000 0.5000 0.5000  8 Cd 3.13
Nd 0.0000 0.0000 0.0000  8 Cd 3.13
Cd 0.2500 0.2500 0.2500  4 Nd 3.13, 4 Mg 3.13
Cd 0.7500 0.7500 0.7500  4 Nd 3.13, 4 Mg 3.13

## Properties
* formation enthalpy at 0 K: -0.361 eV/atom
* total moment: 0.00 μB per cell
* space group: Fm-3m (225)

=====

[8]
A relaxed structure of Mg2CdNi2, computed with PBEsol.

Cell lengths 3.6158, 6.5982, 6.5982 Å; angles 90.00, 90.00, 90.00 degrees
Closest atoms and distances in Å follow each position.
Element x y z (fractional)
Ni 0.0000 0.8743 0.6257  1 Ni 2.35, 2 Cd 2.61
Ni 0.0000 0.3743 0.8743  1 Ni 2.35, 2 Cd 2.61
Mg 0.5000 0.1664 0.6664  6 Ni 2.65-2.66
Ni 0.0000 0.1257 0.3743  1 Ni 2.35, 2 Cd 2.61
Cd 0.0000 0.5000 0.5000  4 Ni 2.61
Mg 0.5000 0.3336 0.1664  6 Ni 2.65-2.66
Ni 0.0000 0.6257 0.1257  1 Ni 2.35, 2 Cd 2.61
Mg 0.5000 0.8336 0.3336  6 Ni 2.65-2.66
Cd 0.0000 0.0000 0.0000  4 Ni 2.61
Mg 0.5000 0.6664 0.8336  6 Ni 2.65-2.66

## Properties
* formation enthalpy at 0 K: -0.087 eV/atom
* total moment: 0.00 μB per cell
* space group: P4/mbm (127)

=====

[9]
A relaxed structure of MgCdP2O, computed with PBEsol.

Cell lengths 3.5818, 5.0286, 5.0286 Å; angles 90.00, 90.00, 90.00 degrees
Closest atoms and distances in Å follow each position.
Element x y z (fractional)
P 0.0000 0.0000 0.5000  2 Mg 2.51
Cd 0.5000 0.5000 0.5000  8 P 3.09
Mg 0.0000 0.0000 0.0000  2 O 1.79
P 0.0000 0.5000 0.0000  2 Mg 2.51
O 0.5000 0.0000 0.0000  2 Mg 1.79

## Properties
* total moment: 0.00 μB per cell
* space group: P4/mmm (123)
* electronic total energy: -18.5 eV per formula unit